[1]
# MnCuAu2O8

MnCuAu2O8 after structural relaxation (GGA+U, the Alexandria database).

## Properties
Space group: No. 119
E_tot in eV per atom: -4.68
Magnetic moment in μB/f.u.: 0.39
Theoretical density in g cm⁻³: 7.6

Geometry as CIF:
```
data_MnCuAu2O8
_cell_length_a 5.689
_cell_length_b 5.689
_cell_length_c 5.689
_cell_angle_alpha 112.53
_cell_angle_beta 112.53
_cell_angle_gamma 103.51
_symmetry_space_group_name_H-M 'P 1'
_symmetry_Int_Tables_number 1
loop_
_symmetry_equiv_pos_as_xyz
'x,y,z'
loop_
_atom_site_label
_atom_site_fract_x
_atom_site_fract_y
_atom_site_fract_z
Mn1 0.000 0.000 0.000
Cu1 0.750 0.250 0.500
Au1 0.250 0.750 0.500
Au2 0.500 0.500 0.000
O1 0.020 0.332 0.313
O2 0.020 0.707 0.687
O3 0.084 0.265 0.819
O4 0.293 0.980 0.313
O5 0.447 0.265 0.181
O6 0.668 0.980 0.687
O7 0.735 0.553 0.819
O8 0.735 0.916 0.181
```

[2]
# MnCuAuO4

MnCuAuO4 after structural relaxation (GGA+U, the Alexandria database).

## Properties
Space group: No. 74
E_tot in eV per atom: -5.58
Magnetic moment in μB/f.u.: 2.99
Theoretical density in g cm⁻³: 7.2

Geometry as CIF:
```
data_MnCuAuO4
_cell_length_a 6.542
_cell_length_b 6.542
_cell_length_c 6.542
_cell_angle_alpha 127.59
_cell_angle_beta 125.29
_cell_angle_gamma 79.18
_symmetry_space_group_name_H-M 'P 1'
_symmetry_Int_Tables_number 1
loop_
_symmetry_equiv_pos_as_xyz
'x,y,z'
loop_
_atom_site_label
_atom_site_fract_x
_atom_site_fract_y
_atom_site_fract_z
Mn1 0.500 0.000 0.000
Mn2 0.500 0.500 0.500
Cu1 0.114 0.364 0.750
Cu2 0.886 0.636 0.250
Au1 0.000 0.000 0.000
Au2 0.500 0.000 0.500
O1 0.259 0.727 0.532
O2 0.262 0.252 0.490
O3 0.262 0.772 0.010
O4 0.304 0.273 0.032
O5 0.696 0.727 0.968
O6 0.738 0.228 0.990
O7 0.738 0.748 0.510
O8 0.741 0.273 0.468
```

[3]
# MnCuAu2O6

MnCuAu2O6 after structural relaxation (GGA+U, the Alexandria database).

## Properties
Space group: No. 15
E_tot in eV per atom: -5.23
Magnetic moment in μB/f.u.: 3.12
Theoretical density in g cm⁻³: 8.3

Geometry as CIF:
```
data_MnCuAu2O6
_cell_length_a 6.986
_cell_length_b 6.986
_cell_length_c 4.998
_cell_angle_alpha 90.70
_cell_angle_beta 90.70
_cell_angle_gamma 88.63
_symmetry_space_group_name_H-M 'P 1'
_symmetry_Int_Tables_number 1
loop_
_symmetry_equiv_pos_as_xyz
'x,y,z'
loop_
_atom_site_label
_atom_site_fract_x
_atom_site_fract_y
_atom_site_fract_z
Mn1 0.095 0.905 0.750
Mn2 0.905 0.095 0.250
Cu1 0.408 0.592 0.250
Cu2 0.592 0.408 0.750
Au1 0.098 0.403 0.741
Au2 0.403 0.098 0.241
Au3 0.597 0.902 0.759
Au4 0.902 0.597 0.259
O1 0.054 0.165 0.948
O2 0.138 0.643 0.510
O3 0.165 0.054 0.448
O4 0.336 0.444 0.953
O5 0.357 0.862 0.990
O6 0.444 0.336 0.453
O7 0.556 0.664 0.547
O8 0.643 0.138 0.010
O9 0.664 0.556 0.047
O10 0.835 0.946 0.552
O11 0.862 0.357 0.490
O12 0.946 0.835 0.052
```